This record from Alexandria describes a relaxed structure of Ta3MnOs. The functional is GGA-PBE.

Cell: 4.8003 4.8003 4.8003 Å, 90.00 90.00 90.00°
Closest atoms and distances in Å follow each position.
Atoms (fractional coordinates):
1 Ta 0.0000 0.0000 0.5000  2 Os 2.40
2 Ta 0.0000 0.5000 0.0000  2 Os 2.40
3 Ta 0.5000 0.0000 0.0000  2 Os 2.40
4 Mn 0.5000 0.5000 0.5000  12 Ta 3.39
5 Os 0.0000 0.0000 0.0000  6 Ta 2.40

Output
- energy relative to the elements (meV per atom) = 1668